# CsU2NiO8 (PBE+U, relaxed)
# Total energy, eV/atom: -7.70
data_CsU2NiO8
_space_group_name_H-M_alt 'P -1'
_space_group_IT_number 2
_cell_length_a 5.3618
_cell_length_b 5.3643
_cell_length_c 7.2694
_cell_angle_alpha 85.33
_cell_angle_beta 85.30
_cell_angle_gamma 79.40
loop_
_space_group_symop_operation_xyz
'x,y,z'
'-x,-y,-z'
loop_
_atom_site_label
_atom_site_fract_x
_atom_site_fract_y
_atom_site_fract_z
Cs1 0.0000 0.0000 0.0000
U1 0.4950 0.4949 0.2630
Ni1 0.0000 0.0000 0.5000
O1 0.1932 0.7656 0.6840
O2 0.2356 0.8078 0.3158
O3 0.3357 0.3369 0.4819
O4 0.3543 0.3560 0.9669